(1)
{
  "formula": "Fe2HgSe",
  "functional": "PBE",
  "state": "relaxed",
  "e_form_raw_ev_per_atom": 0.29,
  "total_energy_ev_per_atom": -4.887,
  "lattice_angstrom": [[-4.078, -1.483, 0.627], [-3.183, -1.862, -2.372], [-0.869, -6.920, 0.615]],
  "species": ["Fe", "Hg", "Fe", "Se"],
  "fractional_positions": [[0.979, 0.979, 0.892], [0.250, 0.250, 0.250], [0.521, 0.521, 0.608], [0.750, 0.750, 0.750]]
}

---

(2)
{
  "formula": "ScInBr2",
  "functional": "PBE",
  "state": "relaxed",
  "e_form_raw_ev_per_atom": -0.98,
  "total_energy_ev_per_atom": -4.086,
  "lattice_angstrom": [[2.081, 0.000, 10.496], [-1.040, 1.802, 10.496], [-1.040, -1.802, 10.496]],
  "species": ["Sc", "Br", "In", "Br"],
  "fractional_positions": [[0.500, 0.500, 0.500], [0.889, 0.889, 0.889], [0.000, 0.000, 0.000], [0.111, 0.111, 0.111]]
}